Record 1
AcAgGe: optimized geometry, PBE-GGA.

Unit cell a=7.0552 b=7.0552 c=7.0552 alpha=90.00 beta=90.00 gamma=90.00
Last column: nearest neighbours and their distance in Å.
Positions (direct):
Ac1 0.0000 0.0000 0.0000  4 Ge 3.05
Ac2 0.0000 0.5000 0.5000  4 Ge 3.05
Ac3 0.5000 0.0000 0.5000  4 Ge 3.05
Ac4 0.5000 0.5000 0.0000  4 Ge 3.05
Ag1 0.0000 0.0000 0.5000  4 Ge 3.05
Ag2 0.0000 0.5000 0.0000  4 Ge 3.05
Ag3 0.5000 0.0000 0.0000  4 Ge 3.05
Ag4 0.5000 0.5000 0.5000  4 Ge 3.05
Ge1 0.2500 0.2500 0.7500  4 Ag 3.05, 4 Ac 3.05
Ge2 0.2500 0.7500 0.2500  4 Ag 3.05, 4 Ac 3.05
Ge3 0.7500 0.2500 0.2500  4 Ag 3.05, 4 Ac 3.05
Ge4 0.7500 0.7500 0.7500  4 Ag 3.05, 4 Ac 3.05

Computed properties:
total magnetic moment: 0.0 μB/f.u.
symmetry: F-43m
DFT formation energy: -0.4122 eV/atom
relative energy among the computed polymorphs: 169 meV per atom



Record 2
Ac7Ag2Ge2: optimized geometry, PBE-GGA.

Unit cell a=7.3101 b=7.3101 c=7.9049 alpha=90.00 beta=90.00 gamma=109.12
Last column: nearest neighbours and their distance in Å.
Positions (direct):
Ac1 0.0000 0.0000 0.0000  2 Ag 3.43
Ac2 0.0000 0.5000 0.2874  2 Ag 3.14, 1 Ac 3.36, 2 Ge 3.50
Ac3 0.0000 0.5000 0.7126  2 Ag 3.14, 1 Ac 3.36, 2 Ge 3.50
Ac4 0.5000 0.0000 0.2874  2 Ag 3.14, 1 Ac 3.36, 2 Ge 3.50
Ac5 0.5000 0.0000 0.7126  2 Ag 3.14, 1 Ac 3.36, 2 Ge 3.50
Ac6 0.5000 0.5000 0.2669  2 Ag 3.29, 2 Ge 3.41, 4 Ac 3.66
Ac7 0.5000 0.5000 0.7331  2 Ag 3.29, 2 Ge 3.41, 4 Ac 3.66
Ag1 0.2882 0.7118 0.0000  7 Ac 3.14-3.43
Ag2 0.7118 0.2882 0.0000  7 Ac 3.14-3.43
Ge1 0.1616 0.1616 0.5000  1 Ge 2.74
Ge2 0.8384 0.8384 0.5000  1 Ge 2.74

Computed properties:
total magnetic moment: 0.0 μB/f.u.
symmetry: Cmmm
DFT formation energy: -0.0525 eV/atom



Record 3
AcAgGe2: optimized geometry, PBE-GGA.

Unit cell a=3.7081 b=3.7081 c=6.9303 alpha=90.00 beta=90.00 gamma=90.00
Last column: nearest neighbours and their distance in Å.
Positions (direct):
Ac1 0.0000 0.0000 0.0000  8 Ge 3.41, 2 Ag 3.47, 4 Ac 3.71
Ag1 0.0000 0.0000 0.5000  8 Ge 2.92
Ge1 0.5000 0.5000 0.3142  1 Ge 2.58
Ge2 0.5000 0.5000 0.6858  1 Ge 2.58

Computed properties:
total magnetic moment: 0.0 μB/f.u.
symmetry: P4/mmm
DFT formation energy: -0.1224 eV/atom
relative energy among the computed polymorphs: 382 meV per atom



Record 4
Ac3AgGe2: optimized geometry, PBE-GGA.

Unit cell a=12.6546 b=4.6312 c=12.7683 alpha=90.00 beta=90.00 gamma=90.00
Last column: nearest neighbours and their distance in Å.
Positions (direct):
Ac1 0.0571 0.2500 0.1233  1 Ag 3.26, 5 Ge 3.27-3.46
Ac2 0.1240 0.7500 0.5596  3 Ag 3.34-3.37, 5 Ge 3.34-3.42
Ac3 0.2064 0.2500 0.8034  2 Ag 3.22, 4 Ge 3.23-3.49
Ac4 0.2936 0.7500 0.3034  2 Ag 3.22, 4 Ge 3.23-3.49
Ac5 0.3760 0.2500 0.0596  3 Ag 3.34-3.37, 5 Ge 3.34-3.42
Ac6 0.4429 0.7500 0.6233  1 Ag 3.26, 5 Ge 3.27-3.46
Ac7 0.5571 0.2500 0.3767  1 Ag 3.26, 5 Ge 3.27-3.46
Ac8 0.6240 0.7500 0.9404  3 Ag 3.34-3.37, 5 Ge 3.34-3.42
Ac9 0.7064 0.2500 0.6966  2 Ag 3.22, 4 Ge 3.23-3.49
Ac10 0.7936 0.7500 0.1966  2 Ag 3.22, 4 Ge 3.23-3.49
Ac11 0.8760 0.2500 0.4404  3 Ag 3.34-3.37, 5 Ge 3.34-3.42
Ac12 0.9429 0.7500 0.8767  1 Ag 3.26, 5 Ge 3.27-3.46
Ag1 0.1295 0.2500 0.3684  3 Ge 2.79-2.84
Ag2 0.3705 0.7500 0.8684  3 Ge 2.79-2.84
Ag3 0.6295 0.2500 0.1316  3 Ge 2.79-2.84
Ag4 0.8705 0.7500 0.6316  3 Ge 2.79-2.84
Ge1 0.0185 0.7500 0.3157  2 Ag 2.79
Ge2 0.1878 0.7500 0.9972  1 Ag 2.84
Ge3 0.3122 0.2500 0.4972  1 Ag 2.84
Ge4 0.4815 0.2500 0.8157  2 Ag 2.79
Ge5 0.5185 0.7500 0.1843  2 Ag 2.79
Ge6 0.6878 0.7500 0.5028  1 Ag 2.84
Ge7 0.8122 0.2500 0.0028  1 Ag 2.84
Ge8 0.9815 0.2500 0.6843  2 Ag 2.79

Computed properties:
total magnetic moment: 0.2 μB/f.u.
symmetry: Pnma
DFT formation energy: -0.5653 eV/atom
relative energy among the computed polymorphs: 0 meV per atom



Record 5
Ac3Ag2Ge: optimized geometry, PBE-GGA.

Unit cell a=3.9925 b=3.9925 c=11.5158 alpha=90.00 beta=90.00 gamma=90.00
Last column: nearest neighbours and their distance in Å.
Positions (direct):
Ac1 0.0000 0.0000 0.0000  8 Ag 3.41
Ac2 0.0000 0.0000 0.3468  4 Ge 3.33, 4 Ag 3.51, 1 Ac 3.53
Ac3 0.0000 0.0000 0.6532  4 Ge 3.33, 4 Ag 3.51, 1 Ac 3.53
Ag1 0.5000 0.5000 0.1663  8 Ac 3.41-3.51
Ag2 0.5000 0.5000 0.8337  8 Ac 3.41-3.51
Ge1 0.5000 0.5000 0.5000  8 Ac 3.33

Computed properties:
total magnetic moment: 0.0 μB/f.u.
symmetry: P4/mmm
DFT formation energy: -0.3616 eV/atom



Record 6
Ac3Ag7Ge4: optimized geometry, PBE-GGA.

Unit cell a=8.8320 b=8.8320 c=9.8957 alpha=123.71 beta=123.71 gamma=30.40
Last column: nearest neighbours and their distance in Å.
Positions (direct):
Ac1 0.0000 0.0000 0.0000  6 Ge 3.33-3.44, 6 Ag 3.35-3.58
Ac2 0.3014 0.3014 0.3001  4 Ge 3.28-3.29, 10 Ag 3.34-3.61
Ac3 0.6986 0.6986 0.6999  4 Ge 3.28-3.29, 10 Ag 3.34-3.61
Ag1 0.0000 0.0000 0.5000  2 Ge 2.76, 6 Ag 3.05-3.08
Ag2 0.1471 0.1471 0.4135  3 Ge 2.71-2.92
Ag3 0.3348 0.3348 0.9838  4 Ge 2.71-2.97, 1 Ag 2.84
Ag4 0.4930 0.4930 0.6926  3 Ge 2.73-2.98, 5 Ag 2.84-3.05
Ag5 0.5070 0.5070 0.3074  3 Ge 2.73-2.98, 5 Ag 2.84-3.05
Ag6 0.6652 0.6652 0.0162  4 Ge 2.71-2.97, 1 Ag 2.84
Ag7 0.8529 0.8529 0.5865  3 Ge 2.71-2.92
Ge1 0.1267 0.1267 0.8397  6 Ag 2.74-2.98
Ge2 0.3415 0.3415 0.7169  5 Ag 2.71-2.92
Ge3 0.6585 0.6585 0.2831  5 Ag 2.71-2.92
Ge4 0.8733 0.8733 0.1603  6 Ag 2.74-2.98

Computed properties:
total magnetic moment: 0.0 μB/f.u.
symmetry: C2/m
DFT formation energy: -0.3663 eV/atom



Record 7
Ac4Ag3Ge: optimized geometry, PBE-GGA.

Unit cell a=4.4368 b=4.8038 c=11.9007 alpha=90.00 beta=90.00 gamma=90.00
Last column: nearest neighbours and their distance in Å.
Positions (direct):
Ac1 0.0000 0.0000 0.0000  5 Ag 3.34-3.47, 2 Ge 3.39
Ac2 0.0000 0.5000 0.2720  4 Ge 3.34, 3 Ag 3.37-3.41
Ac3 0.5000 0.0000 0.4849  1 Ge 3.21, 6 Ag 3.38-3.47
Ac4 0.5000 0.5000 0.7725  7 Ag 3.36-3.40
Ag1 0.0000 0.0000 0.7086  2 Ag 3.00
Ag2 0.0000 0.5000 0.5581  2 Ag 3.00
Ag3 0.5000 0.5000 0.0585  2 Ge 3.04, 7 Ac 3.34-3.40
Ge1 0.5000 0.0000 0.2152  2 Ag 3.04, 7 Ac 3.21-3.39

Computed properties:
total magnetic moment: 0.0 μB/f.u.
symmetry: Pmm2
DFT formation energy: -0.3654 eV/atom



Record 8
Ac2AgGe3: optimized geometry, PBE-GGA.

Unit cell a=4.4871 b=4.6388 c=7.5815 alpha=90.00 beta=90.00 gamma=90.00
Last column: nearest neighbours and their distance in Å.
Positions (direct):
Ac1 0.0000 0.0000 0.0000  8 Ge 3.33-3.47, 4 Ag 3.49
Ac2 0.0000 0.5000 0.4848  10 Ge 3.29-3.49, 2 Ag 3.41
Ag1 0.5000 0.5000 0.8235  3 Ge 2.60-2.63
Ge1 0.5000 0.0000 0.3242  3 Ge 2.55-2.61
Ge2 0.5000 0.0000 0.6607  1 Ge 2.55, 2 Ag 2.63
Ge3 0.5000 0.5000 0.1670  1 Ag 2.60, 2 Ge 2.61

Computed properties:
total magnetic moment: 0.1 μB/f.u.
symmetry: Pmm2
DFT formation energy: -0.6152 eV/atom
relative energy among the computed polymorphs: 12 meV per atom